Computed, not measured: a relaxed Y8Er5Mg crystal at the PBE level of DFT.

Crystal system = tetragonal
Electronic total energy = -73.0 eV/cell

Cell lengths 8.4052, 8.4052, 8.4052 Å; angles 110.53, 110.53, 107.36 degrees
Last column: nearest neighbours and their distance in Å.
Atoms (fractional coordinates):
Y: 0.0827 0.3396 0.6058  5 Er 3.31-3.58, 4 Y 3.59-3.67
Y: 0.1659 0.4349 0.0938  4 Er 3.12-3.44, 1 Mg 3.16
Y: 0.3411 0.0721 0.9062  4 Er 3.12-3.44, 1 Mg 3.16
Y: 0.5231 0.9173 0.2569  5 Er 3.31-3.58, 4 Y 3.59-3.67
Y: 0.5651 0.6589 0.7310  4 Er 3.12-3.44, 1 Mg 3.16
Y: 0.6604 0.2662 0.7431  5 Er 3.31-3.58, 4 Y 3.59-3.67
Y: 0.7338 0.4769 0.3942  5 Er 3.31-3.58, 4 Y 3.59-3.67
Y: 0.9279 0.8341 0.2690  4 Er 3.12-3.44, 1 Mg 3.16
Er: 0.0253 0.7141 0.8972  8 Y 3.32-3.58, 2 Er 3.51
Er: 0.2859 0.1831 0.3112  8 Y 3.32-3.58, 2 Er 3.51
Er: 0.5000 0.5000 0.0000  8 Y 3.12-3.31
Er: 0.8169 0.1281 0.1028  8 Y 3.32-3.58, 2 Er 3.51
Er: 0.8719 0.9747 0.6888  8 Y 3.32-3.58, 2 Er 3.51
Mg: 0.2500 0.7500 0.5000  4 Y 3.16